# 1
## HfH2Rh2 (GGA-PBE)

Data for crystalline HfH2Rh2 at its relaxed geometry.

Summary:
- Energy relative to the lowest polymorph listed for this composition: 0 meV/atom
- Magnetization: 0.000 μB per atom
- Uncorrected energy: -33.496 eV for the cell shown

a = 3.3778 Å, b = 3.3778 Å, c = 5.3434 Å
α = 71.57°, β = 71.57°, γ = 90.00°
Last column: nearest neighbours and their distance in Å.
Element x y z (fractional)
Rh  0.3496  0.3496  0.3008  4 H 1.94
Rh  0.6504  0.6504  0.6992  4 H 1.94
Hf  0.0000  0.0000  0.0000  8 Rh 2.79, 8 H 2.93
H  0.2500  0.7500  0.5000  4 Rh 1.94
H  0.7500  0.2500  0.5000  4 Rh 1.94

***

# 2
## ZnCuRe2 (GGA-PBE)

Data for crystalline ZnCuRe2 at its relaxed geometry.

Summary:
- Energy relative to the lowest polymorph listed for this composition: 181 meV/atom
- Magnetization: 0.000 μB per atom
- Formation energy from the elements: 240 meV/atom
- Uncorrected energy: -29.307 eV for the cell shown

a = 4.5707 Å, b = 4.5707 Å, c = 4.5707 Å
α = 129.13°, β = 129.13°, γ = 74.80°
Last column: nearest neighbours and their distance in Å.
Element x y z (fractional)
Cu  0.7500  0.2500  0.5000  4 Zn 2.67, 8 Re 2.67-2.78
Re  0.0000  0.0000  0.0000  4 Re 2.67, 4 Cu 2.67, 4 Zn 2.78
Re  0.2500  0.7500  0.5000  4 Re 2.67, 4 Zn 2.67, 4 Cu 2.78
Zn  0.5000  0.5000  0.0000  8 Re 2.67-2.78, 4 Cu 2.67

***

# 3
## CePm2SmHo5 (GGA-PBE)

Data for crystalline CePm2SmHo5 at its relaxed geometry.

Summary:
- Magnetization: 0.111 μB per atom
- Formation energy from the elements: 269 meV/atom
- Uncorrected energy: -81.245 eV for the cell shown

a = 8.6376 Å, b = 8.6376 Å, c = 9.8677 Å
α = 115.96°, β = 115.96°, γ = 90.00°
Last column: nearest neighbours and their distance in Å.
Element x y z (fractional)
Pm  0.1196  0.3804  0.0000  1 Pm 2.92, 2 Ho 3.05
Pm  0.6196  0.1196  0.0000  1 Pm 2.92, 2 Ho 3.05
Pm  0.3804  0.8804  0.0000  1 Pm 2.92, 2 Ho 3.05
Pm  0.8804  0.6196  0.0000  1 Pm 2.92, 2 Ho 3.05
Ho  0.0000  0.0000  0.0000  4 Pm 3.44, 8 Ho 3.78
Ho  0.5646  0.6574  0.7220  1 Ce 3.02, 1 Pm 3.05
Ho  0.5000  0.5000  0.0000  4 Pm 3.44, 8 Ho 3.78
Ho  0.6574  0.1574  0.7220  1 Ce 3.02, 1 Pm 3.05
Ho  0.4354  0.3426  0.2780  1 Ce 3.02, 1 Pm 3.05
Ho  0.1574  0.0646  0.7220  1 Ce 3.02, 1 Pm 3.05
Ho  0.0646  0.5646  0.7220  1 Ce 3.02, 1 Pm 3.05
Ho  0.9354  0.4354  0.2780  1 Ce 3.02, 1 Pm 3.05
Ho  0.8426  0.9354  0.2780  1 Ce 3.02, 1 Pm 3.05
Ho  0.3426  0.8426  0.2780  1 Ce 3.02, 1 Pm 3.05
Ce  0.2500  0.7500  0.5000  4 Ho 3.02
Ce  0.7500  0.2500  0.5000  4 Ho 3.02
Sm  0.7500  0.7500  0.5000  10 Ho 3.55-3.88
Sm  0.2500  0.2500  0.5000  10 Ho 3.55-3.88